Entry from the Alexandria database: a relaxed Pr3Tl4Cu2 crystal (GGA-PBE).

a = 6.170 Å, b = 6.170 Å, c = 9.340 Å
α = 111.51°, β = 111.51°, γ = 46.31°
Fractional positions:
Pr 0.000 0.000 0.000
Pr 0.331 0.331 0.350
Pr 0.669 0.669 0.650
Tl 0.043 0.043 0.365
Tl 0.267 0.267 0.912
Tl 0.733 0.733 0.088
Tl 0.957 0.957 0.635
Cu 0.397 0.397 0.720
Cu 0.603 0.603 0.280

Formation energy from the elements ... -0.25 eV per atom
Symmetry ... C2/m, No. 12
DOS at the Fermi energy ... 0.66 states/eV/atom

---

Entry from the Alexandria database: a relaxed HfPaSb2 crystal (GGA-PBE).

a = 7.368 Å, b = 4.091 Å, c = 13.977 Å
α = 90.00°, β = 90.00°, γ = 90.00°
Fractional positions:
Hf 0.054 0.250 0.089
Hf 0.446 0.750 0.589
Hf 0.554 0.250 0.411
Hf 0.946 0.750 0.911
Pa 0.141 0.750 0.349
Pa 0.359 0.250 0.849
Pa 0.641 0.750 0.151
Pa 0.859 0.250 0.651
Sb 0.141 0.750 0.728
Sb 0.208 0.250 0.511
Sb 0.292 0.750 0.011
Sb 0.359 0.250 0.228
Sb 0.641 0.750 0.772
Sb 0.708 0.250 0.989
Sb 0.792 0.750 0.489
Sb 0.859 0.250 0.272

Symmetry ... Pnma, No. 62
DOS at the Fermi energy ... 0.97 states/eV/atom
Energy relative to the lowest polymorph listed for this composition ... 0 meV/atom
Formation energy from raw total energies ... -0.420 eV per atom

---

Entry from the Alexandria database: a relaxed PrSm3Co crystal (GGA-PBE).

a = 7.970 Å, b = 7.597 Å, c = 10.057 Å
α = 90.00°, β = 106.78°, γ = 90.00°
Fractional positions:
Pr 0.178 0.059 0.250
Pr 0.178 0.441 0.750
Pr 0.822 0.559 0.250
Pr 0.822 0.941 0.750
Sm 0.094 0.697 0.035
Sm 0.094 0.803 0.535
Sm 0.291 0.000 0.888
Sm 0.291 0.500 0.388
Sm 0.431 0.129 0.615
Sm 0.431 0.371 0.115
Sm 0.569 0.629 0.885
Sm 0.569 0.871 0.385
Sm 0.709 0.000 0.112
Sm 0.709 0.500 0.612
Sm 0.906 0.197 0.465
Sm 0.906 0.303 0.965
Co 0.448 0.743 0.602
Co 0.448 0.757 0.102
Co 0.552 0.243 0.898
Co 0.552 0.257 0.398

Formation energy from the elements ... 0.02 eV per atom
Symmetry ... P2_1/c, No. 14
DOS at the Fermi energy ... 1.17 states/eV/atom
Energy relative to the lowest polymorph listed for this composition ... 81 meV/atom

---

Entry from the Alexandria database: a relaxed HgC2 crystal (GGA-PBE).

a = 6.325 Å, b = 6.325 Å, c = 6.325 Å
α = 154.40°, β = 99.68°, γ = 85.99°
Fractional positions:
Hg 0.367 0.117 0.250
Hg 0.633 0.883 0.750
C 0.040 0.290 0.750
C 0.187 0.437 0.750
C 0.813 0.563 0.250
C 0.960 0.710 0.250

Formation energy from the elements ... 1.36 eV per atom
Symmetry ... Imma, No. 74
DOS at the Fermi energy ... 0.31 states/eV/atom
Energy relative to the lowest polymorph listed for this composition ... 818 meV/atom

---

Entry from the Alexandria database: a relaxed Tl12Hg17 crystal (GGA-PBE).

a = 10.367 Å, b = 10.367 Å, c = 10.367 Å
α = 109.47°, β = 109.47°, γ = 109.47°
Fractional positions:
Tl 0.000 0.198 0.399
Tl 0.000 0.399 0.198
Tl 0.198 0.000 0.399
Tl 0.198 0.399 0.000
Tl 0.201 0.802 0.802
Tl 0.399 0.000 0.198
Tl 0.399 0.198 0.000
Tl 0.601 0.601 0.799
Tl 0.601 0.799 0.601
Tl 0.799 0.601 0.601
Tl 0.802 0.201 0.802
Tl 0.802 0.802 0.201
Hg 0.000 0.000 0.000
Hg 0.000 0.000 0.668
Hg 0.000 0.431 0.701
Hg 0.000 0.668 0.000
Hg 0.000 0.701 0.431
Hg 0.270 0.569 0.569
Hg 0.299 0.299 0.730
Hg 0.299 0.730 0.299
Hg 0.332 0.332 0.332
Hg 0.431 0.000 0.701
Hg 0.431 0.701 0.000
Hg 0.569 0.270 0.569
Hg 0.569 0.569 0.270
Hg 0.668 0.000 0.000
Hg 0.701 0.000 0.431
Hg 0.701 0.431 0.000
Hg 0.730 0.299 0.299

Formation energy from the elements ... 0.02 eV per atom
Symmetry ... I-43m, No. 217
DOS at the Fermi energy ... 0.42 states/eV/atom

---

Entry from the Alexandria database: a relaxed Rb2NpCu2O6 crystal (GGA-PBE).

a = 6.826 Å, b = 6.826 Å, c = 6.826 Å
α = 52.67°, β = 52.67°, γ = 52.67°
Fractional positions:
Rb 0.217 0.217 0.217
Rb 0.783 0.783 0.783
Np 0.000 0.000 0.000
Cu 0.410 0.410 0.410
Cu 0.590 0.590 0.590
O 0.226 0.226 0.760
O 0.226 0.760 0.226
O 0.240 0.774 0.774
O 0.760 0.226 0.226
O 0.774 0.240 0.774
O 0.774 0.774 0.240

Symmetry ... R-3m, No. 166
DOS at the Fermi energy ... 0.59 states/eV/atom
Formation energy from raw total energies ... -1.712 eV per atom

---

Entry from the Alexandria database: a relaxed AcPmPuSi crystal (GGA-PBE).

a = 5.379 Å, b = 5.379 Å, c = 5.379 Å
α = 60.00°, β = 60.00°, γ = 60.00°
Fractional positions:
Ac 0.000 0.000 0.000
Pm 0.750 0.750 0.750
Pu 0.250 0.250 0.250
Si 0.500 0.500 0.500

Symmetry ... F-43m, No. 216
DOS at the Fermi energy ... 3.63 states/eV/atom
Formation energy from raw total energies ... 0.166 eV per atom

---

Entry from the Alexandria database: a relaxed Pm6Nd2SmMg crystal (GGA-PBE).

a = 9.077 Å, b = 9.077 Å, c = 9.269 Å
α = 91.65°, β = 91.65°, γ = 118.04°
Fractional positions:
Pm 0.004 0.427 0.792
Pm 0.142 0.783 0.555
Pm 0.217 0.858 0.945
Pm 0.273 0.502 0.400
Pm 0.427 0.004 0.292
Pm 0.498 0.727 0.100
Pm 0.502 0.273 0.900
Pm 0.573 0.996 0.708
Pm 0.727 0.498 0.600
Pm 0.783 0.142 0.055
Pm 0.858 0.217 0.445
Pm 0.996 0.573 0.208
Nd 0.215 0.326 0.051
Nd 0.326 0.215 0.551
Nd 0.674 0.785 0.449
Nd 0.785 0.674 0.949
Sm 0.024 0.976 0.250
Sm 0.976 0.024 0.750
Mg 0.421 0.579 0.750
Mg 0.579 0.421 0.250

Formation energy from the elements ... 0.11 eV per atom
Symmetry ... C2/c, No. 15
DOS at the Fermi energy ... 1.32 states/eV/atom

---

Entry from the Alexandria database: a relaxed Be3CdP crystal (GGA-PBE).

a = 4.407 Å, b = 4.407 Å, c = 4.407 Å
α = 90.00°, β = 90.00°, γ = 90.00°
Fractional positions:
Be 0.000 0.000 0.500
Be 0.000 0.500 0.000
Be 0.500 0.000 0.000
Cd 0.000 0.000 0.000
P 0.500 0.500 0.500

Formation energy from the elements ... 1.35 eV per atom
Symmetry ... Pm-3m, No. 221
DOS at the Fermi energy ... 0.49 states/eV/atom
Energy relative to the lowest polymorph listed for this composition ... 723 meV/atom

---

Entry from the Alexandria database: a relaxed NaPaSbO2 crystal (GGA-PBE).

a = 7.271 Å, b = 7.271 Å, c = 7.271 Å
α = 149.04°, β = 149.04°, γ = 44.36°
Fractional positions:
Na 0.000 0.000 0.000
Pa 0.324 0.324 0.000
Sb 0.661 0.661 0.000
O 0.389 0.889 0.500
O 0.889 0.389 0.500

Symmetry ... I4mm, No. 107
DOS at the Fermi energy ... 0.51 states/eV/atom
Formation energy from raw total energies ... -2.166 eV per atom

---

Entry from the Alexandria database: a relaxed TePd2Au crystal (GGA-PBE).

a = 5.979 Å, b = 5.979 Å, c = 5.979 Å
α = 102.76°, β = 102.76°, γ = 123.94°
Fractional positions:
Te 0.000 0.000 0.000
Te 0.750 0.250 0.500
Pd 0.115 0.625 0.990
Pd 0.375 0.365 0.490
Pd 0.635 0.125 0.010
Pd 0.875 0.885 0.510
Au 0.250 0.750 0.500
Au 0.500 0.500 0.000

Symmetry ... I-42d, No. 122
DOS at the Fermi energy ... 0.69 states/eV/atom
Formation energy from raw total energies ... -0.036 eV per atom

---

Entry from the Alexandria database: a relaxed Ba2PaCu2O6 crystal (GGA-PBE).

a = 6.132 Å, b = 6.132 Å, c = 6.674 Å
α = 117.10°, β = 117.10°, γ = 58.37°
Fractional positions:
Ba 0.219 0.219 0.184
Ba 0.781 0.781 0.816
Pa 0.000 0.000 0.500
Cu 0.437 0.437 0.758
Cu 0.563 0.563 0.242
O 0.190 0.701 0.219
O 0.231 0.231 0.615
O 0.299 0.810 0.781
O 0.701 0.190 0.219
O 0.769 0.769 0.385
O 0.810 0.299 0.781

Symmetry ... C2/m, No. 12
DOS at the Fermi energy ... 0.41 states/eV/atom
Formation energy from raw total energies ... -2.313 eV per atom

---

Entry from the Alexandria database: a relaxed Er2Tm2Pb2N crystal (GGA-PBE).

a = 8.611 Å, b = 8.611 Å, c = 8.611 Å
α = 148.46°, β = 148.46°, γ = 45.20°
Fractional positions:
Er 0.156 0.156 0.000
Er 0.844 0.844 0.000
Tm 0.000 0.500 0.500
Tm 0.500 0.000 0.500
Pb 0.356 0.356 0.000
Pb 0.644 0.644 0.000
N 0.000 0.000 0.000

Symmetry ... I4/mmm, No. 139
DOS at the Fermi energy ... 0.65 states/eV/atom
Formation energy from raw total energies ... -0.859 eV per atom

---

Entry from the Alexandria database: a relaxed Ni4PSe crystal (GGA-PBE).

a = 4.795 Å, b = 4.795 Å, c = 4.795 Å
α = 60.00°, β = 60.00°, γ = 60.00°
Fractional positions:
Ni 0.125 0.125 0.125
Ni 0.125 0.125 0.626
Ni 0.125 0.626 0.125
Ni 0.626 0.125 0.125
P 0.750 0.750 0.750
Se 0.500 0.500 0.500

Symmetry ... F-43m, No. 216
DOS at the Fermi energy ... 1.17 states/eV/atom
Formation energy from raw total energies ... 0.382 eV per atom

---

Entry from the Alexandria database: a relaxed BiSbIr crystal (GGA-PBE).

a = 4.681 Å, b = 4.681 Å, c = 4.681 Å
α = 60.00°, β = 60.00°, γ = 60.00°
Fractional positions:
Bi 0.000 0.000 0.000
Sb 0.500 0.500 0.500
Ir 0.250 0.250 0.250

Symmetry ... F-43m, No. 216
DOS at the Fermi energy ... 0.69 states/eV/atom
Energy relative to the lowest polymorph listed for this composition ... 162 meV/atom
Formation energy from raw total energies ... -0.054 eV per atom